[1]
{"formula": "SrH2IrPd", "functional": "PBE-GGA", "state": "optimized geometry", "cell": [[3.9378, 0.0000, 0.0000], [0.0000, 6.0023, 0.0000], [0.0000, 0.0000, 3.9378]], "species": ["Ir", "H", "H", "Sr", "Pd"], "fractional_positions": [[0.5000, 0.5000, 0.5000], [0.5000, 0.0000, 0.0000], [0.0000, 0.0000, 0.5000], [0.0000, 0.0000, 0.0000], [0.0000, 0.5000, 0.0000]], "spacegroup": "P4/mmm (123)", "e_tot_ev_per_fu": -17.36}

=====

[2]
{"formula": "Tb12PmNi6", "functional": "PBE-GGA", "state": "optimized geometry", "cell": [[8.0704, 0.0000, -2.8533], [-4.0352, 6.9892, -2.8533], [0.0000, 0.0000, 8.5600]], "species": ["Tb", "Tb", "Tb", "Tb", "Tb", "Ni", "Tb", "Tb", "Pm", "Tb", "Ni", "Tb", "Ni", "Ni", "Ni", "Tb", "Tb", "Ni", "Tb"], "fractional_positions": [[0.1270, 0.8156, 0.3115], [0.5041, 0.8156, 0.6885], [0.6885, 0.8730, 0.1844], [0.1844, 0.3115, 0.4959], [0.3115, 0.4959, 0.1844], [0.6236, 0.5000, 0.1236], [0.1844, 0.6885, 0.8730], [0.8156, 0.3115, 0.1270], [0.0000, 0.0000, 0.0000], [0.4959, 0.1844, 0.3115], [0.5000, 0.8764, 0.3764], [0.8730, 0.1844, 0.6885], [0.8764, 0.3764, 0.5000], [0.3764, 0.5000, 0.8764], [0.1236, 0.6236, 0.5000], [0.3115, 0.1270, 0.8156], [0.6885, 0.5041, 0.8156], [0.5000, 0.1236, 0.6236], [0.8156, 0.6885, 0.5041]], "spacegroup": "Im-3 (204)", "e_tot_ev_per_fu": -99.42}

=====

Q: Which formula does entry 1 have?
A: SrH2IrPd

=====

Repeat the first record exactly.
{"formula": "SrH2IrPd", "functional": "PBE-GGA", "state": "optimized geometry", "cell": [[3.9378, 0.0000, 0.0000], [0.0000, 6.0023, 0.0000], [0.0000, 0.0000, 3.9378]], "species": ["Ir", "H", "H", "Sr", "Pd"], "fractional_positions": [[0.5000, 0.5000, 0.5000], [0.5000, 0.0000, 0.0000], [0.0000, 0.0000, 0.5000], [0.0000, 0.0000, 0.0000], [0.0000, 0.5000, 0.0000]], "spacegroup": "P4/mmm (123)", "e_tot_ev_per_fu": -17.36}